No. 1
## Rb2BaP2S7 (GGA-PBE)

Data for Rb2BaP2S7 after structural relaxation.

a b c (Å): 10.2920 10.2920 10.2920
angles (deg): 36.54 36.54 36.54
Last column: nearest neighbours and their distance in Å.
Atoms (fractional coordinates):
Rb1 0.1604 0.1604 0.1604  9 S 3.55-3.73, 3 Rb 3.74
Rb2 0.8396 0.8396 0.8396  9 S 3.55-3.73, 3 Rb 3.74
Ba1 0.0000 0.0000 0.0000  6 S 3.26
P1 0.4201 0.4201 0.4201  3 S 2.02
P2 0.5799 0.5799 0.5799  3 S 2.02
S1 0.0759 0.4605 0.6782  1 P 2.02
S2 0.3218 0.5395 0.9241  1 P 2.02
S3 0.4605 0.6782 0.0759  1 P 2.02
S4 0.5000 0.5000 0.5000  2 P 2.30
S5 0.5395 0.9241 0.3218  1 P 2.02
S6 0.6782 0.0759 0.4605  1 P 2.02
S7 0.9241 0.3218 0.5395  1 P 2.02

Summary:
Size of the total moment: 0.0 μB/f.u.
Electronic total energy: -4.458 eV/atom
SG: R32 (155)
ρ: 2.85 Mg/m³



No. 2
## RbBaSbP2 (GGA-PBE)

Data for RbBaSbP2 after structural relaxation.

a b c (Å): 5.4398 5.4398 6.1580
angles (deg): 90.00 90.00 90.00
Last column: nearest neighbours and their distance in Å.
Atoms (fractional coordinates):
Rb1 0.0000 0.0000 0.0000  4 Ba 3.85, 8 P 4.11
Ba1 0.5000 0.5000 0.0000  2 Sb 3.08
Sb1 0.5000 0.5000 0.5000  4 P 2.72
P1 0.0000 0.5000 0.5000  2 Sb 2.72
P2 0.5000 0.0000 0.5000  2 Sb 2.72

Summary:
Size of the total moment: 0.0 μB/f.u.
Electronic total energy: -3.299 eV/atom
DOS(E_F): 3.89 states/eV/cell
SG: P4/mmm (123)
ρ: 3.70 Mg/m³



No. 3
## Rb2BaPSe4 (GGA-PBE)

Data for Rb2BaPSe4 after structural relaxation.

a b c (Å): 7.4127 7.4127 7.4127
angles (deg): 111.99 111.99 104.55
Last column: nearest neighbours and their distance in Å.
Atoms (fractional coordinates):
Rb1 0.0000 0.0000 0.0000  8 Se 3.84-4.07
Rb2 0.7500 0.2500 0.5000  4 Se 3.32
Ba1 0.2500 0.7500 0.5000  4 Se 3.16
P1 0.5000 0.5000 0.0000  4 Se 2.35
Se1 0.2003 0.5396 0.0152  1 P 2.35
Se2 0.4604 0.4756 0.6607  1 P 2.35
Se3 0.5244 0.1851 0.9848  1 P 2.35
Se4 0.8149 0.7997 0.3393  1 P 2.35

Summary:
Size of the total moment: 0.0 μB/f.u.
Electronic total energy: -3.780 eV/atom
DOS(E_F): 3.90 states/eV/cell
SG: I-4 (82)
ρ: 3.49 Mg/m³